Ir3Os2, optimized geometry, DFT GGA-PBE; total magnetization = 0.000 μB per atom; volume = 82.12 Å³ per cell; calculated formation energy = 694 meV/atom; symmetry = P-3m1 (164)
1.0
4.247 0.000 0.000
-2.123 3.678 0.000
0.000 0.000 5.258
Ir Os
3 2
direct
0.000 0.000 0.000
0.333 0.667 0.374
0.667 0.333 0.626
0.333 0.667 0.869
0.667 0.333 0.131


Ir3Os4, optimized geometry, DFT GGA-PBE; total magnetization = 0.000 μB per atom; volume = 105.97 Å³ per cell; calculated formation energy = 660 meV/atom; symmetry = P6/mmm (191)
1.0
5.033 0.000 0.000
-2.516 4.359 0.000
0.000 0.000 4.831
Ir Os
3 4
direct
0.000 0.500 0.000
0.500 0.000 0.000
0.500 0.500 0.000
0.000 0.000 0.257
0.000 0.000 0.743
0.333 0.667 0.500
0.667 0.333 0.500


IrOs4, optimized geometry, DFT GGA-PBE; total magnetization = 0.000 μB per atom; volume = 146.69 Å³ per cell; calculated formation energy = 306 meV/atom; symmetry = Imma (74)
1.0
-2.075 2.719 6.499
2.075 -2.719 6.499
2.075 2.719 -6.499
Ir Os
2 8
direct
0.352 0.102 0.250
0.648 0.898 0.750
0.000 0.500 0.500
0.139 0.889 0.250
0.203 0.698 0.505
0.307 0.302 0.005
0.500 0.500 0.000
0.693 0.698 0.995
0.797 0.302 0.495
0.861 0.111 0.750


IrOs, optimized geometry, DFT GGA-PBE; total magnetization = 0.000 μB per atom; volume = 57.63 Å³ per cell; calculated formation energy = 60 meV/atom; symmetry = Fddd (70)
1.0
0.000 2.738 3.859
2.727 0.000 3.859
2.727 2.738 0.000
Ir Os
2 2
direct
0.125 0.125 0.125
0.875 0.875 0.875
0.375 0.375 0.375
0.625 0.625 0.625


What is the total magnetization in the second record? 0.000 μB per atom


The highest calculated formation energy belongs to which entry? Ir3Os2


volume of number 2 (Ir3Os4)? 105.97 Å³ per cell


Which of these has the lowest calculated formation energy? IrOs